## VGaFe2 (PBE)

Data for a relaxed VGaFe2 crystal.

```
VGaFe2
1.0
-3.267 3.267 2.555
3.267 -3.267 2.555
3.267 3.267 -2.555
V Ga Fe
2 2 4
Direct
0.000 0.000 0.000
0.750 0.250 0.500
0.250 0.750 0.500
0.500 0.500 0.000
0.097 0.625 0.972
0.375 0.347 0.472
0.653 0.125 0.028
0.875 0.903 0.528
```

Computed properties:
- SG = I-42d (122)
- total energy (eV/atom) = -6.90
- energy of formation (eV per atom) = 0.3669